Density functional theory data (GGA+U) for a relaxed structure of Cs2PuCrF6.

Values from the calculation:
* V: 20.3 Å³/atom
* total energy: -6.294 eV/atom

a b c (Å): 6.7263 8.9961 6.7110
angles (deg): 90.00 90.00 90.00
Last column: nearest neighbours and their distance in Å.
Space group Pmmn (No. 59, origin choice 2)
Inequivalent atoms, fractional coordinates:
Cs: 0.2500 0.9997 0.2497 [4 per cell]  12 F 3.27-3.37
Pu: 0.2500 0.2500 0.7496 [2 per cell]  6 F 2.33-2.37
Cr: 0.2500 0.7500 0.7504 [2 per cell]  2 F 2.13
F: 0.0051 0.2500 0.5040 [4 per cell]  1 Pu 2.33, 1 Cr 2.42
F: 0.0048 0.2500 0.9948 [4 per cell]  1 Pu 2.33, 1 Cr 2.42
F: 0.2500 0.5132 0.7503 [4 per cell]  1 Cr 2.13, 1 Pu 2.37

Density functional theory data (GGA+U) for a relaxed structure of TiNbCrO6.

Values from the calculation:
* V: 10.9 Å³/atom
* distance to the lowest polymorph of the same formula: 79 meV per atom

a b c (Å): 5.0503 5.0503 8.8805
angles (deg): 90.00 90.00 120.00
Last column: nearest neighbours and their distance in Å.
Space group P-31c (No. 163)
Inequivalent atoms, fractional coordinates:
Ti: 0.0000 0.0000 0.0000 [2 per cell]  6 O 2.00
Nb: 0.3333 0.6667 0.2500 [2 per cell]  6 O 2.02
Cr: 0.3333 0.6667 0.7500 [2 per cell]  6 O 2.02
O: 0.0014 0.3279 0.1270 [12 per cell]  1 Ti 2.00, 1 Nb 2.02, 1 Cr 2.02